Material: ZnRuBr2
Method: DFT, meta-GGA SCAN
State: PBEsol geometry

Energy relative to the elements, uncorrected: -0.0107 eV/atom
Final energy: -87.30 eV for the cell shown
Symmetry: Cm, No. 8
Energy above the most stable polymorph in this dataset: 0 meV/atom

a b c (Å): 4.5815 4.5815 6.8928
angles (deg): 109.05 109.05 45.02
With the nearest neighbours (Å) after each atom.
Sites, in units of the cell vectors:
1 Zn 0.0000 0.0000 0.0000  3 Ru 2.43-2.60, 1 Br 2.55
2 Ru 0.6971 0.6971 0.9231  4 Br 2.42-2.64, 3 Zn 2.43-2.60
3 Br 0.1457 0.1457 0.6673  2 Ru 2.42
4 Br 0.3122 0.3122 0.2261  1 Zn 2.55, 2 Ru 2.64


Material: LiLaTa2
Method: DFT, meta-GGA SCAN
State: PBEsol geometry

Formation energy: 207 kJ/mol of formula units
Final energy: -176.52 eV for the cell shown
Symmetry: C2/m, No. 12
Energy above the most stable polymorph in this dataset: 170 meV/atom

a b c (Å): 5.4991 5.4991 5.0486
angles (deg): 100.40 100.40 31.55
With the nearest neighbours (Å) after each atom.
Sites, in units of the cell vectors:
1 Li 0.0000 0.0000 0.0000  4 La 2.93, 6 Ta 2.94-3.24, 2 Li 2.99
2 La 0.5000 0.5000 0.5000  4 Li 2.93, 2 La 2.99, 6 Ta 3.04-3.26
3 Ta 0.2662 0.2662 0.7709  6 Ta 2.83-3.08, 2 Li 2.94, 1 La 3.04
4 Ta 0.7338 0.7338 0.2291  6 Ta 2.83-3.08, 2 Li 2.94, 1 La 3.04


Material: Ca2Mg
Method: DFT, meta-GGA SCAN
State: PBEsol geometry

Formation energy: -13 kJ/mol of formula units
Final energy: -24.43 eV for the cell shown
Symmetry: I4/mmm, No. 139

a b c (Å): 7.1950 7.1950 7.1950
angles (deg): 148.47 148.47 45.20
With the nearest neighbours (Å) after each atom.
Sites, in units of the cell vectors:
1 Ca 0.1482 0.1482 0.0000  4 Mg 3.39
2 Ca 0.8518 0.8518 0.0000  4 Mg 3.39
3 Mg 0.5000 0.5000 0.0000  8 Ca 3.39


Material: Fe2AgBr
Method: DFT, meta-GGA SCAN
State: PBEsol geometry

Energy relative to the elements, uncorrected: 0.8231 eV/atom
Final energy: -83.79 eV for the cell shown
Symmetry: F-43m, No. 216
Energy above the most stable polymorph in this dataset: 258 meV/atom

a b c (Å): 4.4543 4.4543 4.4543
angles (deg): 60.00 60.00 60.00
With the nearest neighbours (Å) after each atom.
Sites, in units of the cell vectors:
1 Fe 0.0000 0.0000 0.0000  4 Fe 2.73, 4 Ag 2.73
2 Fe 0.2500 0.2500 0.2500  4 Fe 2.73, 4 Br 2.73
3 Ag 0.7500 0.7500 0.7500  4 Fe 2.73, 4 Br 2.73
4 Br 0.5000 0.5000 0.5000  4 Fe 2.73, 4 Ag 2.73


Material: Ca2LaRe
Method: DFT, meta-GGA SCAN
State: PBEsol geometry

Formation energy: 298 kJ/mol of formula units
Final energy: -130.44 eV for the cell shown
Symmetry: Fm-3m, No. 225
Energy above the most stable polymorph in this dataset: 105 meV/atom

a b c (Å): 5.1871 5.1871 5.1871
angles (deg): 60.00 60.00 60.00
With the nearest neighbours (Å) after each atom.
Sites, in units of the cell vectors:
1 Ca 0.2500 0.2500 0.2500  4 La 3.18, 4 Re 3.18
2 Ca 0.7500 0.7500 0.7500  4 La 3.18, 4 Re 3.18
3 La 0.0000 0.0000 0.0000  8 Ca 3.18
4 Re 0.5000 0.5000 0.5000  8 Ca 3.18


Material: CrCuCl
Method: DFT, meta-GGA SCAN
State: PBEsol geometry

Energy relative to the elements, uncorrected: 0.0081 eV/atom
Final energy: -41.54 eV for the cell shown
Symmetry: Fmm2, No. 42
Energy above the most stable polymorph in this dataset: 62 meV/atom

a b c (Å): 6.0645 5.7807 3.0378
angles (deg): 80.38 70.02 29.60
With the nearest neighbours (Å) after each atom.
Sites, in units of the cell vectors:
1 Cr 0.0000 0.0000 0.0000  2 Cl 2.41, 2 Cu 2.45
2 Cu 0.3412 0.3412 0.6588  2 Cr 2.45, 2 Cl 2.69
3 Cl 0.6531 0.6531 0.3469  2 Cr 2.41, 2 Cu 2.69


Material: LiTc2
Method: DFT, meta-GGA SCAN
State: PBEsol geometry

Formation energy: 41 kJ/mol of formula units
Final energy: -72.09 eV for the cell shown
Symmetry: Immm, No. 71
Energy above the most stable polymorph in this dataset: 107 meV/atom

a b c (Å): 4.4221 4.4221 4.4221
angles (deg): 146.29 123.25 67.66
With the nearest neighbours (Å) after each atom.
Sites, in units of the cell vectors:
1 Li 0.0000 0.0000 0.0000  10 Tc 2.46-2.74, 2 Li 2.56
2 Tc 0.3355 0.3355 0.0000  3 Tc 2.42-2.56, 1 Li 2.46
3 Tc 0.6645 0.6645 0.0000  3 Tc 2.42-2.56, 1 Li 2.46


Material: LaGe2PdW
Method: DFT, meta-GGA SCAN
State: PBEsol geometry

Formation energy: -52 kJ/mol of formula units
Final energy: -184.28 eV for the cell shown
Symmetry: P4/mmm, No. 123

a b c (Å): 4.7715 4.7715 4.9601
angles (deg): 90.00 90.00 90.00
With the nearest neighbours (Å) after each atom.
Sites, in units of the cell vectors:
1 La 0.0000 0.0000 0.0000  4 Pd 3.37, 8 Ge 3.44
2 Ge 0.0000 0.5000 0.5000  2 W 2.39
3 Ge 0.5000 0.0000 0.5000  2 W 2.39
4 Pd 0.5000 0.5000 0.0000  2 W 2.48
5 W 0.5000 0.5000 0.5000  4 Ge 2.39, 2 Pd 2.48


Material: MnAlTl
Method: DFT, meta-GGA SCAN
State: PBEsol geometry

Formation energy: 43 kJ/mol of formula units
Final energy: -97.92 eV for the cell shown
Symmetry: F-43m, No. 216

a b c (Å): 4.3773 4.3773 4.3773
angles (deg): 60.00 60.00 60.00
With the nearest neighbours (Å) after each atom.
Sites, in units of the cell vectors:
1 Mn 0.0000 0.0000 0.0000  4 Tl 2.68, 4 Al 2.68
2 Al 0.2500 0.2500 0.2500  4 Mn 2.68
3 Tl 0.7500 0.7500 0.7500  4 Mn 2.68


Material: CaMg2Pb
Method: DFT, meta-GGA SCAN
State: PBEsol geometry

Formation energy: -73 kJ/mol of formula units
Final energy: -96.14 eV for the cell shown
Symmetry: Fm-3m, No. 225
Energy above the most stable polymorph in this dataset: 102 meV/atom

a b c (Å): 5.3131 5.3131 5.3131
angles (deg): 60.00 60.00 60.00
With the nearest neighbours (Å) after each atom.
Sites, in units of the cell vectors:
1 Ca 0.0000 0.0000 0.0000  8 Mg 3.25
2 Mg 0.2500 0.2500 0.2500  4 Pb 3.25, 4 Ca 3.25
3 Mg 0.7500 0.7500 0.7500  4 Pb 3.25, 4 Ca 3.25
4 Pb 0.5000 0.5000 0.5000  8 Mg 3.25


Material: SrTa3
Method: DFT, meta-GGA SCAN
State: PBEsol geometry

Formation energy: 380 kJ/mol of formula units
Final energy: -218.09 eV for the cell shown
Symmetry: Imm2, No. 44

a b c (Å): 6.1463 6.1463 6.1463
angles (deg): 153.27 62.05 125.14
With the nearest neighbours (Å) after each atom.
Sites, in units of the cell vectors:
1 Sr 0.0000 0.0000 0.0000  2 Sr 2.84, 2 Ta 3.13
2 Ta 0.1628 0.3858 0.7770  4 Ta 2.83-2.84
3 Ta 0.5080 0.0080 0.5000  6 Ta 2.83-2.84, 2 Sr 3.13
4 Ta 0.6089 0.3858 0.2230  4 Ta 2.83-2.84


Material: ScCo2Mo
Method: DFT, meta-GGA SCAN
State: PBEsol geometry

Formation energy: 23 kJ/mol of formula units
Final energy: -83.49 eV for the cell shown
Symmetry: Pm, No. 6

a b c (Å): 2.7586 4.2793 4.5816
angles (deg): 90.00 98.62 90.00
With the nearest neighbours (Å) after each atom.
Sites, in units of the cell vectors:
1 Sc 0.0000 0.0000 0.0000  7 Co 2.49-2.62, 2 Sc 2.76
2 Co 0.5482 0.5000 0.1051  3 Mo 2.44-2.61, 4 Sc 2.56-2.62, 2 Co 2.71
3 Co 0.6129 0.0000 0.4721  3 Sc 2.49-2.55, 4 Mo 2.52-2.68, 4 Co 2.71-2.76
4 Mo 0.1963 0.5000 0.5828  7 Co 2.44-2.68


Material: Ca2AgAu2
Method: DFT, meta-GGA SCAN
State: PBEsol geometry

Formation energy: -368 kJ/mol of formula units
Final energy: -385.64 eV for the cell shown
Symmetry: P4/mbm, No. 127

a b c (Å): 7.5552 7.5552 3.9852
angles (deg): 90.00 90.00 90.00
With the nearest neighbours (Å) after each atom.
Sites, in units of the cell vectors:
1 Ca 0.1719 0.3281 0.0000  6 Au 2.90-3.05
2 Ca 0.3281 0.8281 0.0000  6 Au 2.90-3.05
3 Ca 0.6719 0.1719 0.0000  6 Au 2.90-3.05
4 Ca 0.8281 0.6719 0.0000  6 Au 2.90-3.05
5 Ag 0.0000 0.0000 0.5000  4 Au 2.96
6 Ag 0.5000 0.5000 0.5000  4 Au 2.96
7 Au 0.1305 0.6305 0.5000  1 Au 2.79, 6 Ca 2.90-3.05, 2 Ag 2.96
8 Au 0.3695 0.1305 0.5000  1 Au 2.79, 6 Ca 2.90-3.05, 2 Ag 2.96
9 Au 0.6305 0.8695 0.5000  1 Au 2.79, 6 Ca 2.90-3.05, 2 Ag 2.96
10 Au 0.8695 0.3695 0.5000  1 Au 2.79, 6 Ca 2.90-3.05, 2 Ag 2.96


Material: Y2Ru
Method: DFT, meta-GGA SCAN
State: PBEsol geometry

Formation energy: -95 kJ/mol of formula units
Final energy: -91.50 eV for the cell shown
Symmetry: Fm-3m, No. 225

a b c (Å): 4.7140 4.7140 4.7140
angles (deg): 60.00 60.00 60.00
With the nearest neighbours (Å) after each atom.
Sites, in units of the cell vectors:
1 Y 0.2500 0.2500 0.2500  4 Ru 2.89
2 Y 0.7500 0.7500 0.7500  4 Ru 2.89
3 Ru 0.0000 0.0000 0.0000  8 Y 2.89


Material: SiHg2GeAs
Method: DFT, meta-GGA SCAN
State: PBEsol geometry

Energy relative to the elements, uncorrected: 0.8824 eV/atom
Final energy: -181.21 eV for the cell shown
Symmetry: P4/mmm, No. 123

a b c (Å): 5.1242 5.1242 4.7885
angles (deg): 90.00 90.00 90.00
With the nearest neighbours (Å) after each atom.
Sites, in units of the cell vectors:
1 Si 0.0000 0.0000 0.0000  2 As 2.39
2 Hg 0.0000 0.5000 0.5000  2 As 2.56
3 Hg 0.5000 0.0000 0.5000  2 As 2.56
4 Ge 0.5000 0.5000 0.0000  8 Hg 3.51, 4 Si 3.62
5 As 0.0000 0.0000 0.5000  2 Si 2.39, 4 Hg 2.56


Material: CdGaOs3
Method: DFT, meta-GGA SCAN
State: PBEsol geometry

Formation energy: 1549 kJ/mol of formula units
Final energy: -246.35 eV for the cell shown
Symmetry: Pm-3m, No. 221

a b c (Å): 4.7477 4.7477 4.7477
angles (deg): 90.00 90.00 90.00
With the nearest neighbours (Å) after each atom.
Sites, in units of the cell vectors:
1 Cd 0.0000 0.0000 0.0000  6 Os 2.37
2 Ga 0.5000 0.5000 0.5000  12 Os 3.36
3 Os 0.0000 0.0000 0.5000  2 Cd 2.37
4 Os 0.0000 0.5000 0.0000  2 Cd 2.37
5 Os 0.5000 0.0000 0.0000  2 Cd 2.37


Material: AsIr2Au
Method: DFT, meta-GGA SCAN
State: PBEsol geometry

Formation energy: 133 kJ/mol of formula units
Final energy: -230.17 eV for the cell shown
Symmetry: Cmm2, No. 35

a b c (Å): 2.7699 2.7699 9.6923
angles (deg): 90.00 90.00 121.03
With the nearest neighbours (Å) after each atom.
Sites, in units of the cell vectors:
1 As 0.0000 0.0000 0.0000  2 Ir 2.61, 6 As 2.73-2.77
2 Ir 0.0000 0.0000 0.5385  8 Ir 2.63-2.77, 2 Au 2.81
3 Ir 0.5000 0.5000 0.7706  2 As 2.61, 8 Ir 2.63-2.77
4 Au 0.5000 0.5000 0.2855  6 Au 2.73-2.77, 2 Ir 2.81


Material: SrMgSi
Method: DFT, meta-GGA SCAN
State: PBEsol geometry

Energy relative to the elements, uncorrected: -0.4450 eV/atom
Final energy: -154.40 eV for the cell shown
Symmetry: Pnma, No. 62

a b c (Å): 7.7416 4.5738 8.3784
angles (deg): 90.00 90.00 90.00
With the nearest neighbours (Å) after each atom.
Sites, in units of the cell vectors:
1 Sr 0.0142 0.2500 0.1843  5 Si 3.22-3.30, 4 Mg 3.34-3.54
2 Sr 0.4858 0.7500 0.6843  5 Si 3.22-3.30, 4 Mg 3.34-3.54
3 Sr 0.5142 0.2500 0.3157  5 Si 3.22-3.30, 4 Mg 3.34-3.54
4 Sr 0.9858 0.7500 0.8157  5 Si 3.22-3.30, 4 Mg 3.34-3.54
5 Mg 0.1454 0.2500 0.5659  4 Si 2.78-2.92
6 Mg 0.3546 0.7500 0.0659  4 Si 2.78-2.92
7 Mg 0.6454 0.2500 0.9341  4 Si 2.78-2.92
8 Mg 0.8546 0.7500 0.4341  4 Si 2.78-2.92
9 Si 0.2185 0.7500 0.3905  4 Mg 2.78-2.92
10 Si 0.2815 0.2500 0.8905  4 Mg 2.78-2.92
11 Si 0.7185 0.7500 0.1095  4 Mg 2.78-2.92
12 Si 0.7815 0.2500 0.6095  4 Mg 2.78-2.92


Material: Zn2InGaMo
Method: DFT, meta-GGA SCAN
State: PBEsol geometry

Formation energy: 617 kJ/mol of formula units
Final energy: -105.26 eV for the cell shown
Symmetry: P4/mmm, No. 123

a b c (Å): 4.8369 4.8369 5.1442
angles (deg): 90.00 90.00 90.00
With the nearest neighbours (Å) after each atom.
Sites, in units of the cell vectors:
1 Zn 0.0000 0.5000 0.0000  2 In 2.42
2 Zn 0.5000 0.0000 0.0000  2 In 2.42
3 In 0.0000 0.0000 0.0000  4 Zn 2.42, 2 Ga 2.57
4 Ga 0.0000 0.0000 0.5000  2 In 2.57
5 Mo 0.5000 0.5000 0.5000  4 Ga 3.42, 8 Zn 3.53


Material: PtPbW2
Method: DFT, meta-GGA SCAN
State: PBEsol geometry

Formation energy: 197 kJ/mol of formula units
Final energy: -283.31 eV for the cell shown
Symmetry: C2/m, No. 12

a b c (Å): 4.9521 4.9521 4.9370
angles (deg): 100.84 100.84 36.93
With the nearest neighbours (Å) after each atom.
Sites, in units of the cell vectors:
1 Pt 0.0000 0.0000 0.0000  6 W 2.77-2.80, 4 Pb 2.92
2 Pb 0.5000 0.5000 0.5000  4 Pt 2.92, 6 W 2.95-3.02, 2 Pb 3.14
3 W 0.2587 0.2587 0.8009  2 W 2.55, 3 Pt 2.77-2.80
4 W 0.7413 0.7413 0.1991  2 W 2.55, 3 Pt 2.77-2.80